This record from Alexandria describes crystalline SmDySi2 at its relaxed geometry. The functional is GGA-PBE.

POSCAR file:
```
SmDySi2
1.0
4.631 0.000 0.000
2.316 4.011 0.000
2.316 1.337 5.151
Si Dy Sm
2 1 1
Direct
0.745 0.745 0.765
0.255 0.255 0.235
0.000 0.000 0.000
0.500 0.500 0.500
```

Values from the calculation:
- total moment (μB per cell) = 0.00
- offset from the most stable computed form (eV per atom) = 0.311
- space-group type = R-3m, No. 166

This record from Alexandria describes crystalline Pm6TlSi2Br3 at its relaxed geometry. The functional is GGA-PBE.

POSCAR file:
```
Pm6TlSi2Br3
1.0
-0.511 -3.642 -2.112
8.789 -0.464 -1.326
-0.977 -2.806 9.336
Br Pm Si Tl
3 6 2 1
Direct
0.832 0.163 0.664
0.500 0.500 0.000
0.168 0.837 0.336
0.666 0.121 0.332
0.987 0.742 0.973
0.323 0.432 0.647
0.013 0.258 0.027
0.334 0.879 0.668
0.677 0.568 0.353
0.832 0.658 0.664
0.168 0.342 0.336
0.500 0.000 0.000
```

Values from the calculation:
- total moment (μB per cell) = 0.00
- space-group type = C2/m, No. 12
- final energy (eV/cell) = -58.1

This record from Alexandria describes crystalline KLiCaTa2 at its relaxed geometry. The functional is GGA-PBE.

POSCAR file:
```
KLiCaTa2
1.0
5.082 0.000 0.000
0.000 5.963 0.000
0.000 0.000 5.082
Li K Ta Ca
1 1 2 1
Direct
0.500 0.500 0.500
0.000 0.500 0.000
0.000 0.000 0.500
0.500 0.000 0.000
0.000 0.000 0.000
```

Values from the calculation:
- total moment (μB per cell) = 2.10
- space-group type = P4/mmm, No. 123
- final energy (eV/cell) = -17.6

This record from Alexandria describes crystalline ScSiPb2 at its relaxed geometry. The functional is GGA-PBE.

POSCAR file:
```
ScSiPb2
1.0
-1.823 -0.916 2.634
-2.065 -1.158 -2.344
4.306 -8.048 0.183
Sc Pb Si
1 2 1
Direct
0.000 0.000 0.549
0.500 0.500 0.280
0.000 0.000 0.951
0.500 0.500 0.720
```

Values from the calculation:
- total moment (μB per cell) = 0.00
- space-group type = Cmm2, No. 35
- final energy (eV/cell) = -19.3